(1)
Compound: PaNbSb2N
Source: the Alexandria database
Functional: PBE-GGA
Structure: relaxed

Cell lengths 3.8572, 3.8572, 13.7928 Å; angles 90.00, 90.00, 90.00 degrees
Last column: nearest neighbours and their distance in Å.
Sites, in units of the cell vectors:
Sb 0.0000 0.5000 0.7179  1 Nb 2.97, 4 Pa 3.27
Nb 0.0000 0.5000 0.9332  6 Sb 2.90-2.97
Sb 0.0000 0.5000 0.1438  5 Nb 2.90-2.93
Pa 0.5000 0.0000 0.5877  4 N 2.28
Nb 0.5000 0.0000 0.0668  6 Sb 2.90-2.97
Sb 0.5000 0.0000 0.2821  1 Nb 2.97, 4 Pa 3.27
N 0.5000 0.5000 0.5000  4 Pa 2.28
Pa 0.0000 0.5000 0.4123  4 N 2.28
N 0.0000 0.0000 0.5000  4 Pa 2.28
Sb 0.5000 0.0000 0.8562  5 Nb 2.90-2.93

The crystal system is tetragonal. As for the calculated density: 9.41 g cm⁻³. Its uncorrected formation energy is -0.823 eV per atom. The value obtained for the density of states at the Fermi level is 5.91 states/eV per cell.


(2)
Compound: SrFeCoC2
Source: the Alexandria database
Functional: PBE-GGA
Structure: relaxed

Cell lengths 3.7469, 5.6439, 3.7469 Å; angles 90.00, 90.00, 90.00 degrees
Last column: nearest neighbours and their distance in Å.
Sites, in units of the cell vectors:
C 0.5000 0.0000 0.0000  2 Fe 1.87
Co 0.5000 0.5000 0.5000  4 Sr 2.65
Fe 0.0000 0.0000 0.0000  4 C 1.87
Sr 0.0000 0.5000 0.0000  4 Co 2.65, 2 Fe 2.82
C 0.0000 0.0000 0.5000  2 Fe 1.87

As for the energy relative to the elements: 1.68 eV per atom. The crystal system is tetragonal. As for the calculated density: 4.75 g cm⁻³. The value obtained for the density of states at the Fermi level is 4.68 states/eV per cell.


(3)
Compound: Tm5GaFe2
Source: the Alexandria database
Functional: PBE-GGA
Structure: relaxed

Cell lengths 7.1866, 7.1866, 8.6703 Å; angles 114.48, 114.48, 90.00 degrees
Last column: nearest neighbours and their distance in Å.
Sites, in units of the cell vectors:
Ga 0.2500 0.2500 0.5000  8 Tm 3.09
Tm 0.4599 0.3137 0.2735  3 Fe 2.85-2.91, 2 Ga 3.09
Ga 0.7500 0.7500 0.5000  8 Tm 3.09
Fe 0.6077 0.1077 0.0000  1 Fe 2.19
Tm 0.0401 0.5401 0.7265  3 Fe 2.85-2.91, 2 Ga 3.09
Tm 0.6863 0.1863 0.7265  3 Fe 2.85-2.91, 2 Ga 3.09
Fe 0.3923 0.8923 0.0000  1 Fe 2.19
Fe 0.1077 0.3923 0.0000  1 Fe 2.19
Tm 0.5000 0.5000 0.0000  4 Fe 2.92, 8 Tm 3.27
Tm 0.8137 0.9599 0.2735  3 Fe 2.85-2.91, 2 Ga 3.09
Tm 0.1863 0.0401 0.7265  3 Fe 2.85-2.91, 2 Ga 3.09
Tm 0.0000 0.0000 0.0000  4 Fe 2.92, 8 Tm 3.27
Tm 0.3137 0.8137 0.2735  3 Fe 2.85-2.91, 2 Ga 3.09
Tm 0.9599 0.4599 0.2735  3 Fe 2.85-2.91, 2 Ga 3.09
Tm 0.5401 0.6863 0.7265  3 Fe 2.85-2.91, 2 Ga 3.09
Fe 0.8923 0.6077 0.0000  1 Fe 2.19

As for the energy relative to the elements: -0.20 eV per atom. The crystal system is tetragonal. As for the calculated density: 9.39 g cm⁻³. The value obtained for the density of states at the Fermi level is 14.28 states/eV per cell.


(4)
Compound: K4Ce3TmS8
Source: the Alexandria database
Functional: PBE-GGA
Structure: relaxed

Cell lengths 8.3270, 8.7936, 8.3270 Å; angles 118.27, 120.00, 90.00 degrees
Last column: nearest neighbours and their distance in Å.
Sites, in units of the cell vectors:
Ce 0.0000 0.5000 0.5000  6 S 2.85-2.86
Ce 0.5000 0.5000 0.0000  6 S 2.85-2.86
K 0.0000 0.0000 0.0000  6 S 3.22-3.23
S 0.2291 0.7030 0.9739  1 Tm 2.77, 2 Ce 2.86
S 0.2291 0.7030 0.4583  1 Tm 2.77, 2 Ce 2.86
S 0.7448 0.7030 0.9739  1 Tm 2.77, 2 Ce 2.86
S 0.2552 0.2970 0.0261  1 Tm 2.77, 2 Ce 2.86
S 0.2641 0.2924 0.5282  3 Ce 2.85
K 0.5000 0.0000 0.5000  6 S 3.22-3.23
Ce 0.5000 0.5000 0.5000  6 S 2.85-2.86
S 0.7709 0.2970 0.0261  1 Tm 2.77, 2 Ce 2.86
S 0.7359 0.7076 0.4718  3 Ce 2.85
Tm 0.0000 0.5000 0.0000  6 S 2.77
S 0.7709 0.2970 0.5417  1 Tm 2.77, 2 Ce 2.86
K 0.0000 0.0000 0.5000  6 S 3.22-3.23
K 0.5000 0.0000 0.0000  6 S 3.31

The crystal system is trigonal. As for the calculated density: 3.76 g cm⁻³. Its uncorrected formation energy is -1.806 eV per atom. The value obtained for the density of states at the Fermi level is 18.51 states/eV per cell.


(5)
Compound: Dy2Y3Mg2
Source: the Alexandria database
Functional: PBE-GGA
Structure: relaxed

Cell lengths 5.2375, 3.4807, 11.8082 Å; angles 90.00, 77.19, 90.00 degrees
Last column: nearest neighbours and their distance in Å.
Sites, in units of the cell vectors:
Y 0.1493 0.0000 0.7015  3 Y 3.44-3.48, 6 Dy 3.46-3.64, 4 Mg 3.65
Mg 0.4309 0.5000 0.1381  3 Mg 3.18-3.48, 1 Dy 3.29, 4 Y 3.52
Y 0.0000 0.0000 0.0000  4 Y 3.44-3.48, 8 Mg 3.52
Dy 0.2879 0.5000 0.4242  4 Dy 3.15-3.48, 1 Mg 3.29, 4 Y 3.46
Y 0.8507 0.0000 0.2985  3 Y 3.44-3.48, 6 Dy 3.46-3.64, 4 Mg 3.65
Mg 0.5691 0.5000 0.8619  3 Mg 3.18-3.48, 1 Dy 3.29, 4 Y 3.52
Dy 0.7121 0.5000 0.5758  4 Dy 3.15-3.48, 1 Mg 3.29, 4 Y 3.46

As for the energy relative to the elements: 0.03 eV per atom. The crystal system is orthorhombic. As for the calculated density: 5.07 g cm⁻³. The value obtained for the density of states at the Fermi level is 7.26 states/eV per cell.


(6)
Compound: TiHgAs3
Source: the Alexandria database
Functional: PBE-GGA
Structure: relaxed

Cell lengths 4.9210, 4.9210, 4.9210 Å; angles 90.00, 90.00, 90.00 degrees
Last column: nearest neighbours and their distance in Å.
Sites, in units of the cell vectors:
As 0.0000 0.5000 0.0000  2 Ti 2.46
Hg 0.5000 0.5000 0.5000  12 As 3.48
As 0.5000 0.0000 0.0000  2 Ti 2.46
As 0.0000 0.0000 0.5000  2 Ti 2.46
Ti 0.0000 0.0000 0.0000  6 As 2.46

As for the energy relative to the elements: 0.10 eV per atom. The crystal system is cubic. For the distance to the lowest polymorph of the same formula, the calculation gives 0 meV/atom. As for the calculated density: 6.59 g cm⁻³. The value obtained for the density of states at the Fermi level is 3.80 states/eV per cell.